--- w ---
Density functional theory data (PBE) for a relaxed Mg2BrCl crystal.

Values from the calculation:
The value obtained for the density of states at the Fermi level is 4.04 states/eV/cell. Its space-group type is F-43m (216).

Geometry as POSCAR:
```
Mg2BrCl
1.0
5.2515 0.0000 0.0000
2.6257 4.5479 0.0000
2.6257 1.5160 4.2878
Br Cl Mg
1 1 2
Cartesian
5.2515 3.0319 2.1439
7.8772 4.5479 3.2158
0.0000 0.0000 0.0000
2.6257 1.5160 1.0719
```


--- x ---
Density functional theory data (PBE) for a relaxed Mg2BrCl crystal.

Values from the calculation:
The value obtained for the density of states at the Fermi level is 5.09 states/eV/cell. Its space-group type is I-42d (122).

Geometry as POSCAR:
```
Mg2BrCl
1.0
5.2057 0.0000 0.0000
0.0000 5.2057 0.0000
2.6029 2.6029 8.4667
Mg Br Cl
4 2 2
Cartesian
3.6186 1.3014 2.1167
1.5871 3.9043 2.1167
3.9043 4.1900 6.3500
6.5071 6.2215 6.3500
0.0000 0.0000 0.0000
5.2057 2.6029 4.2333
2.6029 2.6029 0.0000
2.6029 5.2057 4.2333
```


What is the stability order? It is x, w, from most stable to least stable.


--- w ---
Density functional theory data (PBE) for a relaxed Mg2BrCl crystal.

Values from the calculation:
The value obtained for the density of states at the Fermi level is 3.74 states/eV/cell. Its space-group type is Fm-3m (225).

Geometry as POSCAR:
```
Mg2BrCl
1.0
0.0000 3.6116 3.6116
3.6116 0.0000 3.6116
3.6116 3.6116 0.0000
Mg Br Cl
2 1 1
Cartesian
1.8058 1.8058 1.8058
5.4174 5.4174 5.4174
3.6116 3.6116 3.6116
0.0000 0.0000 0.0000
```


--- x ---
Density functional theory data (PBE) for a relaxed Mg2BrCl crystal.

Values from the calculation:
The value obtained for the density of states at the Fermi level is 0.51 states/eV/cell. Its space-group type is Cm (8).

Geometry as POSCAR:
```
Mg2BrCl
1.0
-2.6767 0.1418 -5.6720
-5.0805 -1.0568 -3.5253
-4.3911 5.2331 -1.9952
Br Cl Mg
1 1 2
Cartesian
-5.2753 2.2149 -4.6705
-2.9093 -0.1439 -3.3381
-8.1841 -0.3447 -9.3569
-9.6109 3.8356 -8.6205
```


--- y ---
Density functional theory data (PBE) for a relaxed Mg2BrCl crystal.

Values from the calculation:
The value obtained for the density of states at the Fermi level is 0.94 states/eV/cell. Its space-group type is R3m (160).

Geometry as POSCAR:
```
Mg2BrCl
1.0
-0.6566 4.5433 8.9536
-4.1923 3.6399 8.3914
-1.8582 1.1613 9.8203
Br Cl Mg
1 1 2
Cartesian
-3.5575 4.9564 14.4084
-4.8011 6.6891 19.4455
-0.0180 0.0250 0.0728
-1.6842 2.3464 6.8212
```


--- z ---
Density functional theory data (PBE) for a relaxed Mg2BrCl crystal.

Values from the calculation:
The value obtained for the density of states at the Fermi level is 2.57 states/eV/cell. Its space-group type is Cmmm (65).

Geometry as POSCAR:
```
Mg2BrCl
1.0
3.7765 -0.0377 0.0000
-2.0441 3.1757 0.0000
0.0000 0.0000 8.6029
Br Cl Mg
1 1 2
Cartesian
0.8662 1.5690 2.1507
0.8662 1.5690 6.4522
0.0000 0.0000 8.5274
0.0000 0.0000 4.3769
```


What is the stability order? It is y, x, z, w, from most stable to least stable.


--- w ---
Density functional theory data (PBE) for a relaxed MgBrCl3 crystal.

Values from the calculation:
The value obtained for the density of states at the Fermi level is 2.37 states/eV/cell. Its space-group type is Pm-3m (221).

Geometry as POSCAR:
```
MgBrCl3
1.0
-1.1523 1.1975 4.7008
-3.9452 -3.0427 -0.1920
2.8226 -3.7639 1.6507
Mg Br Cl
1 1 3
Cartesian
0.0000 0.0000 0.0000
-1.1375 -2.8046 3.0797
-1.9726 -1.5213 -0.0960
1.4113 -1.8820 0.8254
-0.5762 0.5987 2.3504
```


--- x ---
Density functional theory data (PBE) for a relaxed MgBrCl3 crystal.

Values from the calculation:
The value obtained for the density of states at the Fermi level is 5.66 states/eV/cell. Its space-group type is Pm-3m (221).

Geometry as POSCAR:
```
MgBrCl3
1.0
-0.9817 3.9617 -3.4171
-4.9034 0.5156 2.0065
1.8243 3.5177 3.5542
Mg Br Cl
1 1 3
Cartesian
-2.0304 3.9975 1.0718
0.0000 0.0000 0.0000
-2.4517 0.2578 1.0032
0.9122 1.7589 1.7771
-0.4908 1.9808 -1.7086
```


What is the stability order? It is w, x, from most stable to least stable.


--- w ---
Density functional theory data (PBE) for a relaxed Mg3BrCl crystal.

Values from the calculation:
The value obtained for the density of states at the Fermi level is 3.85 states/eV/cell. Its space-group type is Pm-3m (221).

Geometry as POSCAR:
```
Mg3BrCl
1.0
5.3712 0.0000 0.0000
0.0000 5.3712 0.0000
0.0000 0.0000 5.3712
Mg Br Cl
3 1 1
Cartesian
0.0000 2.6856 0.0000
0.0000 0.0000 2.6856
2.6856 0.0000 0.0000
2.6856 2.6856 2.6856
0.0000 0.0000 0.0000
```


--- x ---
Density functional theory data (PBE) for a relaxed Mg3BrCl crystal.

Values from the calculation:
The value obtained for the density of states at the Fermi level is 4.92 states/eV/cell. Its space-group type is Pm-3m (221).

Geometry as POSCAR:
```
Mg3BrCl
1.0
5.6446 0.0000 0.0000
0.0000 5.6446 0.0000
0.0000 0.0000 5.6446
Mg Br Cl
3 1 1
Cartesian
0.0000 2.8223 0.0000
0.0000 0.0000 2.8223
2.8223 0.0000 0.0000
0.0000 0.0000 0.0000
2.8223 2.8223 2.8223
```


What is the stability order? It is w, x, from most stable to least stable.


--- w ---
Density functional theory data (PBE) for a relaxed MgBr3Cl crystal.

Values from the calculation:
The value obtained for the density of states at the Fermi level is 4.12 states/eV/cell. Its space-group type is Pm-3m (221).

Geometry as POSCAR:
```
MgBr3Cl
1.0
-2.0633 4.7361 1.5099
-4.7851 -2.3352 0.7858
1.3465 -1.0412 5.1059
Mg Br Cl
1 3 1
Cartesian
-2.7509 0.6799 3.7008
-2.3925 -1.1676 0.3929
0.6733 -0.5206 2.5530
-1.0317 2.3680 0.7549
0.0000 0.0000 0.0000
```


--- x ---
Density functional theory data (PBE) for a relaxed MgBr3Cl crystal.

Values from the calculation:
The value obtained for the density of states at the Fermi level is 9.79 states/eV/cell. Its space-group type is Pm-3m (221).

Geometry as POSCAR:
```
MgBr3Cl
1.0
5.2806 0.0000 0.0000
0.0000 5.2806 0.0000
0.0000 0.0000 5.2806
Mg Br Cl
1 3 1
Cartesian
0.0000 0.0000 0.0000
0.0000 2.6403 0.0000
0.0000 0.0000 2.6403
2.6403 0.0000 0.0000
2.6403 2.6403 2.6403
```


What is the stability order? It is x, w, from most stable to least stable.


--- w ---
Density functional theory data (PBE) for a relaxed MgPBrCl2 crystal.

Values from the calculation:
The value obtained for the density of states at the Fermi level is 3.00 states/eV/cell. Its space-group type is P4/mmm (123).

Geometry as POSCAR:
```
MgPBrCl2
1.0
-0.4085 1.2572 4.9160
2.8162 -4.0464 1.2688
4.3064 2.8785 -0.3783
P Mg Br Cl
1 1 1 2
Cartesian
2.1532 1.4393 -0.1891
3.3571 0.0446 2.9033
0.0000 0.0000 0.0000
1.4081 -2.0232 0.6344
-0.2042 0.6286 2.4580
```


--- x ---
Density functional theory data (PBE) for a relaxed MgPBrCl2 crystal.

Values from the calculation:
The value obtained for the density of states at the Fermi level is 1.22 states/eV/cell. Its space-group type is P4/mmm (123).

Geometry as POSCAR:
```
MgPBrCl2
1.0
-2.0550 0.4203 4.0931
2.3989 -3.5948 1.5735
6.3345 5.3775 2.6281
P Mg Br Cl
1 1 1 2
Cartesian
3.1672 2.6887 1.3140
0.0000 0.0000 0.0000
3.3392 1.1015 4.1473
1.1994 -1.7974 0.7867
-1.0275 0.2101 2.0465
```


What is the stability order? It is x, w, from most stable to least stable.